A plane-wave DFT calculation with PBE was carried out for a geometry-optimized YNp2Pt9 structure.

```
data_YNp2Pt9
_chemical_formula_sum 'Y1 Np2 Pt9'
_cell_length_a 4.142
_cell_length_b 4.142
_cell_length_c 12.446
_cell_angle_alpha 90.00
_cell_angle_beta 90.00
_cell_angle_gamma 90.00
_symmetry_space_group_name_H-M 'P 4/m m m'
_symmetry_Int_Tables_number 123
_symmetry_space_group_name_Hall '-P 4 2'
loop_
_atom_site_label
_atom_site_type_symbol
_atom_site_fract_x
_atom_site_fract_y
_atom_site_fract_z
_atom_site_occupancy
Y1 Y 0.000 0.000 0.000 1
Np1 Np 0.000 0.000 0.332 1
Pt1 Pt 0.000 0.500 0.168 1
Pt2 Pt 0.000 0.500 0.500 1
Pt3 Pt 0.500 0.500 0.000 1
Pt4 Pt 0.500 0.500 0.333 1
```

Computed properties:
* D(E_F): 2.39 states/eV per atom
* energy of formation from the pure elements: -0.75 eV per atom
* size of the total moment: 6.05 μB/f.u.